# TeO2, single point on PBEsol structure, DFT meta-GGA SCAN
# E_tot   -423.89 eV per cell
# Formation energy without anion corrections   -1.091 eV per atom
# Calculated density   5.7 Mg/m³
data_TeO2
_chemical_formula_sum 'Te8 O16'
_space_group_name_H-M_alt 'P 1'
_space_group_IT_number 1
_cell_length_a 5.254
_cell_length_b 13.181
_cell_length_c 5.380
_cell_angle_alpha 90.00
_cell_angle_beta 90.00
_cell_angle_gamma 90.00
loop_
_space_group_symop_operation_xyz
'x,y,z'
loop_
_atom_site_label
_atom_site_type_symbol
_atom_site_fract_x
_atom_site_fract_y
_atom_site_fract_z
_atom_site_occupancy
Te1 Te 0.185 0.129 0.082 1
Te2 Te 0.185 0.371 0.582 1
Te3 Te 0.315 0.629 0.082 1
Te4 Te 0.315 0.871 0.582 1
Te5 Te 0.685 0.129 0.418 1
Te6 Te 0.685 0.371 0.918 1
Te7 Te 0.815 0.629 0.418 1
Te8 Te 0.815 0.871 0.918 1
O1 O 0.013 0.215 0.325 1
O2 O 0.013 0.285 0.825 1
O3 O 0.140 0.547 0.331 1
O4 O 0.140 0.953 0.831 1
O5 O 0.360 0.047 0.331 1
O6 O 0.360 0.453 0.831 1
O7 O 0.487 0.715 0.325 1
O8 O 0.487 0.785 0.825 1
O9 O 0.513 0.215 0.175 1
O10 O 0.513 0.285 0.675 1
O11 O 0.640 0.547 0.169 1
O12 O 0.640 0.953 0.669 1
O13 O 0.860 0.047 0.169 1
O14 O 0.860 0.453 0.669 1
O15 O 0.987 0.715 0.175 1
O16 O 0.987 0.785 0.675 1